--- a ---
First-principles (PBE) data for an optimized crystal structure of LiAl2Cu2, as listed in Alexandria.

abc: 7.3034 7.3034 2.6899
angles: 90.00 90.00 90.00
Last column: nearest neighbours and their distance in Å.
Space group P4/mbm (No. 127)
Asymmetric unit:
Li 0.0000 0.0000 0.0000 (multiplicity 2)  2 Li 2.69, 4 Cu 2.87
Al 0.1683 0.3317 0.5000 (multiplicity 4)  6 Cu 2.49-2.57, 2 Al 2.69
Cu 0.1284 0.6284 0.0000 (multiplicity 4)  6 Al 2.49-2.57, 3 Cu 2.65-2.69

## Properties
As for the density of states at the Fermi level: 0.914 states/eV/f.u.


--- b ---
First-principles (PBE) data for an optimized crystal structure of LiAl2Cu2, as listed in Alexandria.

abc: 3.5125 3.5125 12.5661
angles: 90.00 90.00 90.00
Last column: nearest neighbours and their distance in Å.
Space group I4/mmm (No. 139)
Asymmetric unit:
Li 0.0000 0.0000 0.0000 (multiplicity 2)  8 Al 2.81
Al 0.0000 0.0000 0.3958 (multiplicity 4)  4 Cu 2.54, 1 Al 2.62, 4 Li 2.81
Cu 0.0000 0.5000 0.2500 (multiplicity 4)  4 Cu 2.48, 4 Al 2.54

## Properties
As for the density of states at the Fermi level: 1.624 states/eV/f.u.


--- c ---
First-principles (PBE) data for an optimized crystal structure of LiAl2Cu2, as listed in Alexandria.

abc: 7.3732 7.3732 2.6717
angles: 90.00 90.00 90.00
Last column: nearest neighbours and their distance in Å.
Space group P4/mbm (No. 127)
Asymmetric unit:
Li 0.0000 0.0000 0.0000 (multiplicity 2)  2 Li 2.67, 4 Al 2.89
Al 0.1310 0.3690 0.0000 (multiplicity 4)  6 Cu 2.49-2.59, 3 Al 2.67-2.73
Cu 0.1675 0.6675 0.5000 (multiplicity 4)  6 Al 2.49-2.59, 2 Cu 2.67

## Properties
As for the density of states at the Fermi level: 0.888 states/eV/f.u.


It comes down to a, which is 7 meV/atom more stable than the next structure.


--- a ---
First-principles (PBE) data for an optimized crystal structure of LiAlCu6, as listed in Alexandria.

abc: 6.5341 6.5341 9.6976
angles: 90.00 90.00 120.00
Last column: nearest neighbours and their distance in Å.
Space group R-3m (No. 166, hexagonal axes)
Asymmetric unit:
Li 0.0000 0.0000 0.0000 (multiplicity 3)  6 Cu 2.55
Al 0.0000 0.0000 0.5000 (multiplicity 3)  6 Cu 2.43
Cu 0.0863 0.5431 0.8863 (multiplicity 18)  5 Cu 2.41-2.59, 1 Al 2.43, 1 Li 2.55

## Properties
As for the density of states at the Fermi level: 3.481 states/eV/f.u.


--- b ---
First-principles (PBE) data for an optimized crystal structure of LiAlCu6, as listed in Alexandria.

abc: 5.1619 5.1619 4.2524
angles: 90.00 90.00 120.00
Last column: nearest neighbours and their distance in Å.
Space group P-6m2 (No. 187)
Asymmetric unit:
Li 0.0000 0.0000 0.0000 (multiplicity 1)  12 Cu 2.58-2.60
Al 0.3333 0.6667 0.5000 (multiplicity 1)  12 Cu 2.58-2.60
Cu 0.3360 0.1680 0.5000 (multiplicity 3)  8 Cu 2.56-2.60, 2 Al 2.58, 2 Li 2.60
Cu 0.5010 0.0020 0.0000 (multiplicity 3)  8 Cu 2.57-2.60, 2 Li 2.58, 2 Al 2.60

## Properties
As for the density of states at the Fermi level: 0.574 states/eV/f.u.


It comes down to b, which is 358 meV/atom more stable than the next structure.


--- a ---
First-principles (PBE) data for an optimized crystal structure of LiAlCu4, as listed in Alexandria.

abc: 4.0531 11.9233 6.6267
angles: 90.00 90.00 90.00
Last column: nearest neighbours and their distance in Å.
Space group Cmcm (No. 63)
Asymmetric unit:
Li 0.0000 0.1657 0.2500 (multiplicity 4)  4 Cu 2.26-2.28
Al 0.0000 0.3808 0.2500 (multiplicity 4)  5 Cu 2.35-2.62, 1 Li 2.57
Cu 0.0000 0.0000 0.0000 (multiplicity 4)  2 Li 2.58, 6 Cu 2.67-2.78
Cu 0.0000 0.2196 0.5775 (multiplicity 8)  1 Li 2.26, 3 Cu 2.29-2.38
Cu 0.0000 0.4217 0.7500 (multiplicity 4)  2 Li 2.28, 1 Al 2.35

## Properties
As for the density of states at the Fermi level: 1.821 states/eV/f.u.


--- b ---
First-principles (PBE) data for an optimized crystal structure of LiAlCu4, as listed in Alexandria.

abc: 4.2482 16.6575 5.0151
angles: 90.00 90.00 90.00
Last column: nearest neighbours and their distance in Å.
Space group Cmcm (No. 63)
Asymmetric unit:
Li 0.0000 0.1485 0.2500 (multiplicity 4)  10 Cu 2.51-2.74
Al 0.0000 0.4241 0.2500 (multiplicity 4)  7 Cu 2.40-2.59
Cu 0.0000 0.1644 0.7500 (multiplicity 4)  6 Cu 2.51-2.56, 2 Li 2.52, 2 Al 2.59
Cu 0.0000 0.2949 0.5010 (multiplicity 8)  1 Al 2.49, 8 Cu 2.50-2.60, 3 Li 2.64-2.74
Cu 0.0000 0.4318 0.7500 (multiplicity 4)  3 Al 2.40-2.51, 2 Li 2.51, 2 Cu 2.60

## Properties
As for the density of states at the Fermi level: 2.622 states/eV/f.u.


--- c ---
First-principles (PBE) data for an optimized crystal structure of LiAlCu4, as listed in Alexandria.

abc: 6.8685 6.8685 6.8685
angles: 90.00 90.00 90.00
Last column: nearest neighbours and their distance in Å.
Space group F-43m (No. 216)
Asymmetric unit:
Li 0.0000 0.0000 0.0000 (multiplicity 4)  12 Cu 2.85, 4 Al 2.97
Al 0.2500 0.2500 0.2500 (multiplicity 4)  12 Cu 2.85, 4 Li 2.97
Cu 0.1250 0.1250 0.6250 (multiplicity 16)  6 Cu 2.43

## Properties
As for the density of states at the Fermi level: 3.758 states/eV/f.u.


It comes down to c, which is 128 meV/atom more stable than the next structure.


--- a ---
First-principles (PBE) data for an optimized crystal structure of Li2Al3Cu2, as listed in Alexandria.

abc: 7.3446 4.1898 6.6530
angles: 90.00 110.58 90.00
Last column: nearest neighbours and their distance in Å.
Space group C2/m (No. 12)
Asymmetric unit:
Li 0.1482 0.0000 0.4407 (multiplicity 4)  1 Cu 2.53, 3 Li 2.53-2.56, 4 Al 2.64-2.75
Al 0.0000 0.0000 0.0000 (multiplicity 2)  6 Cu 2.59-2.63, 2 Li 2.75
Al 0.0727 0.5000 0.7264 (multiplicity 4)  4 Cu 2.54-2.66, 3 Li 2.64-2.65, 1 Al 2.82
Cu 0.2212 0.5000 0.1526 (multiplicity 4)  1 Li 2.53, 7 Al 2.54-2.66

## Properties
As for the density of states at the Fermi level: 0.800 states/eV/f.u.


--- b ---
First-principles (PBE) data for an optimized crystal structure of Li2Al3Cu2, as listed in Alexandria.

abc: 8.9793 4.0976 6.4899
angles: 90.00 113.07 90.00
Last column: nearest neighbours and their distance in Å.
Space group C2/m (No. 12)
Asymmetric unit:
Li 0.1501 0.0000 0.2767 (multiplicity 4)  4 Cu 2.54-2.83, 1 Al 2.83
Al 0.0000 0.5000 0.5000 (multiplicity 2)  4 Cu 2.44, 2 Al 2.67
Al 0.1347 0.5000 0.9467 (multiplicity 4)  3 Cu 2.47-2.59, 2 Al 2.67-2.76
Cu 0.1250 0.0000 0.6965 (multiplicity 4)  5 Al 2.44-2.59, 1 Li 2.54, 1 Cu 2.66

## Properties
As for the density of states at the Fermi level: 1.330 states/eV/f.u.


It comes down to a, which is 27 meV/atom more stable than the next structure.